C2Se | PBE | optimized geometry

Cell: 3.1887 3.1887 4.0101 Å, 90.00 90.00 120.00°
Closest atoms and distances in Å follow each position.
Element x y z (fractional)
1 C 0.0000 0.0000 0.1641  1 C 1.32
2 C 0.0000 0.0000 0.8359  1 C 1.32
3 Se 0.3333 0.6667 0.5000  6 C 2.28

Computed properties:
* ΔE_f (raw): 1.766 eV/atom
* magnetic moment: 0.000 μB per atom
* energy above the lowest structure with this stoichiometry: 1494 meV/atom
* SG: P-6m2 (187)
* total DFT energy (no corrections): -5.54 eV/atom
* DOS(E_F): 0.489 states/eV/atom